(1)
DFT (GGA-PBE) results for a relaxed structure of Rb12H3Br5.

CIF file:
```
data_Rb12H3Br5
_space_group_name_H-M_alt 'I a -3 d'
_space_group_IT_number 230
_space_group_name_Hall '-I 4bd 2c 3'
_cell_length_a 20.293
_cell_length_b 20.293
_cell_length_c 20.293
_cell_angle_alpha 90.00
_cell_angle_beta 90.00
_cell_angle_gamma 90.00
loop_
_atom_site_label
_atom_site_type_symbol
_atom_site_fract_x
_atom_site_fract_y
_atom_site_fract_z
Rb1 Rb 0.024 0.082 0.649
H1 H 0.000 0.250 0.125
Br1 Br 0.000 0.000 0.000
Br2 Br 0.000 0.250 0.375
```

---

(2)
DFT (GGA-PBE) results for a relaxed structure of Rb2H5Br4.

CIF file:
```
data_Rb2H5Br4
_space_group_name_H-M_alt 'C 1 2/m 1'
_space_group_IT_number 12
_cell_length_a 13.144
_cell_length_b 5.192
_cell_length_c 10.247
_cell_angle_alpha 90.00
_cell_angle_beta 119.58
_cell_angle_gamma 90.00
loop_
_space_group_symop_operation_xyz
'x,y,z'
'-x,-y,-z'
'-x,y,-z'
'x,-y,z'
'x+1/2,y+1/2,z'
'-x+1/2,-y+1/2,-z'
'-x+1/2,y+1/2,-z'
'x+1/2,-y+1/2,z'
loop_
_atom_site_label
_atom_site_type_symbol
_atom_site_fract_x
_atom_site_fract_y
_atom_site_fract_z
Rb1 Rb 0.200 0.000 0.232
H1 H 0.000 0.000 0.500
H2 H 0.081 0.077 0.877
Br1 Br 0.089 0.500 0.890
Br2 Br 0.141 0.000 0.535
```

---

(3)
DFT (GGA-PBE) results for a relaxed structure of Rb2ReHBr6.

CIF file:
```
data_Rb2ReHBr6
_space_group_name_H-M_alt 'I 4/m m m'
_space_group_IT_number 139
_space_group_name_Hall '-I 4 2'
_cell_length_a 8.284
_cell_length_b 8.284
_cell_length_c 9.319
_cell_angle_alpha 90.00
_cell_angle_beta 90.00
_cell_angle_gamma 90.00
loop_
_atom_site_label
_atom_site_type_symbol
_atom_site_fract_x
_atom_site_fract_y
_atom_site_fract_z
Rb1 Rb 0.000 0.500 0.250
Re1 Re 0.000 0.000 0.000
H1 H 0.000 0.000 0.500
Br1 Br 0.000 0.000 0.312
Br2 Br 0.215 0.215 0.000
```

---

(4)
DFT (GGA-PBE) results for a relaxed structure of RbReH2Br8.

CIF file:
```
data_RbReH2Br8
_space_group_name_H-M_alt 'P -1'
_space_group_IT_number 2
_cell_length_a 6.829
_cell_length_b 7.034
_cell_length_c 9.566
_cell_angle_alpha 75.58
_cell_angle_beta 79.59
_cell_angle_gamma 76.25
loop_
_space_group_symop_operation_xyz
'x,y,z'
'-x,-y,-z'
loop_
_atom_site_label
_atom_site_type_symbol
_atom_site_fract_x
_atom_site_fract_y
_atom_site_fract_z
Rb1 Rb 0.000 0.000 0.000
Re1 Re 0.000 0.000 0.500
H1 H 0.436 0.744 0.266
Br1 Br 0.092 0.228 0.628
Br2 Br 0.095 0.226 0.262
Br3 Br 0.356 0.801 0.493
Br4 Br 0.495 0.707 0.118
```

---

(5)
DFT (GGA-PBE) results for a relaxed structure of Rb2HRhBr6.

CIF file:
```
data_Rb2HRhBr6
_space_group_name_H-M_alt 'I 4/m m m'
_space_group_IT_number 139
_space_group_name_Hall '-I 4 2'
_cell_length_a 6.948
_cell_length_b 6.948
_cell_length_c 11.854
_cell_angle_alpha 90.00
_cell_angle_beta 90.00
_cell_angle_gamma 90.00
loop_
_atom_site_label
_atom_site_type_symbol
_atom_site_fract_x
_atom_site_fract_y
_atom_site_fract_z
Rb1 Rb 0.000 0.500 0.250
H1 H 0.000 0.000 0.000
Rh1 Rh 0.000 0.000 0.500
Br1 Br 0.000 0.000 0.288
Br2 Br 0.240 0.240 0.000
```

---

(6)
DFT (GGA-PBE) results for a relaxed structure of Rb2HRuBr6.

CIF file:
```
data_Rb2HRuBr6
_space_group_name_H-M_alt 'I 4/m m m'
_space_group_IT_number 139
_space_group_name_Hall '-I 4 2'
_cell_length_a 7.522
_cell_length_b 7.522
_cell_length_c 10.697
_cell_angle_alpha 90.00
_cell_angle_beta 90.00
_cell_angle_gamma 90.00
loop_
_atom_site_label
_atom_site_type_symbol
_atom_site_fract_x
_atom_site_fract_y
_atom_site_fract_z
Rb1 Rb 0.000 0.500 0.250
H1 H 0.000 0.000 0.000
Ru1 Ru 0.000 0.000 0.500
Br1 Br 0.000 0.000 0.264
Br2 Br 0.237 0.237 0.500
```

---

(7)
DFT (GGA-PBE) results for a relaxed structure of RbHRuBr2.

CIF file:
```
data_RbHRuBr2
_space_group_name_H-M_alt 'P 4/m m m'
_space_group_IT_number 123
_space_group_name_Hall '-P 4 2'
_cell_length_a 6.331
_cell_length_b 6.331
_cell_length_c 5.819
_cell_angle_alpha 90.00
_cell_angle_beta 90.00
_cell_angle_gamma 90.00
loop_
_atom_site_label
_atom_site_type_symbol
_atom_site_fract_x
_atom_site_fract_y
_atom_site_fract_z
Rb1 Rb 0.000 0.000 0.000
H1 H 0.500 0.500 0.500
Ru1 Ru 0.000 0.000 0.500
Br1 Br 0.000 0.500 0.000
```

---

(8)
DFT (GGA-PBE) results for a relaxed structure of Rb2HSBr.

CIF file:
```
data_Rb2HSBr
_space_group_name_H-M_alt 'P 1 21/m 1'
_space_group_IT_number 11
_cell_length_a 7.014
_cell_length_b 5.082
_cell_length_c 9.610
_cell_angle_alpha 90.00
_cell_angle_beta 96.99
_cell_angle_gamma 90.00
loop_
_space_group_symop_operation_xyz
'x,y,z'
'-x,-y,-z'
'-x,y+1/2,-z'
'x,-y+1/2,z'
loop_
_atom_site_label
_atom_site_type_symbol
_atom_site_fract_x
_atom_site_fract_y
_atom_site_fract_z
Rb1 Rb 0.224 0.250 0.374
Rb2 Rb 0.260 0.250 0.890
H1 H 0.368 0.750 0.242
S1 S 0.235 0.750 0.128
Br1 Br 0.273 0.750 0.630
```

---

(9)
DFT (GGA-PBE) results for a relaxed structure of Rb2H2SBr2.

CIF file:
```
data_Rb2H2SBr2
_space_group_name_H-M_alt 'P -1'
_space_group_IT_number 2
_cell_length_a 4.635
_cell_length_b 6.787
_cell_length_c 6.995
_cell_angle_alpha 82.63
_cell_angle_beta 78.81
_cell_angle_gamma 78.50
loop_
_space_group_symop_operation_xyz
'x,y,z'
'-x,-y,-z'
loop_
_atom_site_label
_atom_site_type_symbol
_atom_site_fract_x
_atom_site_fract_y
_atom_site_fract_z
Rb1 Rb 0.002 0.261 0.235
H1 H 0.471 0.857 0.357
S1 S 0.500 0.000 0.500
Br1 Br 0.411 0.692 0.185
```

---

(10)
DFT (GGA-PBE) results for a relaxed structure of RbSbH2Br8.

CIF file:
```
data_RbSbH2Br8
_space_group_name_H-M_alt 'P -1'
_space_group_IT_number 2
_cell_length_a 7.168
_cell_length_b 7.498
_cell_length_c 9.627
_cell_angle_alpha 76.07
_cell_angle_beta 79.99
_cell_angle_gamma 71.09
loop_
_space_group_symop_operation_xyz
'x,y,z'
'-x,-y,-z'
loop_
_atom_site_label
_atom_site_type_symbol
_atom_site_fract_x
_atom_site_fract_y
_atom_site_fract_z
Rb1 Rb 0.000 0.000 0.000
Sb1 Sb 0.000 0.000 0.500
H1 H 0.440 0.738 0.252
Br1 Br 0.087 0.219 0.258
Br2 Br 0.096 0.211 0.638
Br3 Br 0.364 0.776 0.491
Br4 Br 0.497 0.709 0.104
```

---

(11)
DFT (GGA-PBE) results for a relaxed structure of Rb2SbHBr6.

CIF file:
```
data_Rb2SbHBr6
_space_group_name_H-M_alt 'I 4/m m m'
_space_group_IT_number 139
_space_group_name_Hall '-I 4 2'
_cell_length_a 7.312
_cell_length_b 7.312
_cell_length_c 12.085
_cell_angle_alpha 90.00
_cell_angle_beta 90.00
_cell_angle_gamma 90.00
loop_
_atom_site_label
_atom_site_type_symbol
_atom_site_fract_x
_atom_site_fract_y
_atom_site_fract_z
Rb1 Rb 0.000 0.500 0.250
Sb1 Sb 0.000 0.000 0.000
H1 H 0.000 0.000 0.500
Br1 Br 0.000 0.000 0.230
Br2 Br 0.232 0.232 0.500
```

---

(12)
# RbHSe2Br | the Alexandria database | GGA-PBE | optimized geometry
# E above lowest polymorph   963 meV per atom
data_RbHSe2Br
_space_group_name_H-M_alt 'P 4/m m m'
_space_group_IT_number 123
_space_group_name_Hall '-P 4 2'
_cell_length_a 7.048
_cell_length_b 7.048
_cell_length_c 6.532
_cell_angle_alpha 90.00
_cell_angle_beta 90.00
_cell_angle_gamma 90.00
loop_
_atom_site_label
_atom_site_type_symbol
_atom_site_fract_x
_atom_site_fract_y
_atom_site_fract_z
Rb1 Rb 0.000 0.000 0.000
H1 H 0.500 0.500 0.500
Se1 Se 0.000 0.500 0.000
Br1 Br 0.000 0.000 0.500

---

(13)
DFT (GGA-PBE) results for a relaxed structure of Rb2H2SeBr2.

CIF file:
```
data_Rb2H2SeBr2
_space_group_name_H-M_alt 'C 1 2/m 1'
_space_group_IT_number 12
_cell_length_a 13.045
_cell_length_b 4.188
_cell_length_c 9.585
_cell_angle_alpha 90.00
_cell_angle_beta 129.02
_cell_angle_gamma 90.00
loop_
_space_group_symop_operation_xyz
'x,y,z'
'-x,-y,-z'
'-x,y,-z'
'x,-y,z'
'x+1/2,y+1/2,z'
'-x+1/2,-y+1/2,-z'
'-x+1/2,y+1/2,-z'
'x+1/2,-y+1/2,z'
loop_
_atom_site_label
_atom_site_type_symbol
_atom_site_fract_x
_atom_site_fract_y
_atom_site_fract_z
Rb1 Rb 0.011 0.000 0.295
H1 H 0.152 0.500 0.153
Se1 Se 0.000 0.500 0.000
Br1 Br 0.200 0.500 0.685
```

---

(14)
DFT (GGA-PBE) results for a relaxed structure of RbH2SeBr.

CIF file:
```
data_RbH2SeBr
_space_group_name_H-M_alt 'P 4/m m m'
_space_group_IT_number 123
_space_group_name_Hall '-P 4 2'
_cell_length_a 4.256
_cell_length_b 4.256
_cell_length_c 6.855
_cell_angle_alpha 90.00
_cell_angle_beta 90.00
_cell_angle_gamma 90.00
loop_
_atom_site_label
_atom_site_type_symbol
_atom_site_fract_x
_atom_site_fract_y
_atom_site_fract_z
Rb1 Rb 0.000 0.000 0.000
H1 H 0.000 0.500 0.000
Se1 Se 0.500 0.500 0.500
Br1 Br 0.000 0.000 0.500
```

---

(15)
# RbHSe2Br | the Alexandria database | GGA-PBE | optimized geometry
# E above lowest polymorph   0 meV per atom
data_RbHSe2Br
_space_group_name_H-M_alt 'P 4/m m m'
_space_group_IT_number 123
_space_group_name_Hall '-P 4 2'
_cell_length_a 4.277
_cell_length_b 4.277
_cell_length_c 7.911
_cell_angle_alpha 90.00
_cell_angle_beta 90.00
_cell_angle_gamma 90.00
loop_
_atom_site_label
_atom_site_type_symbol
_atom_site_fract_x
_atom_site_fract_y
_atom_site_fract_z
Rb1 Rb 0.000 0.000 0.000
H1 H 0.500 0.500 0.500
Se1 Se 0.000 0.500 0.500
Br1 Br 0.500 0.500 0.000

---

(16)
DFT (GGA-PBE) results for a relaxed structure of Rb2SmHBr6.

CIF file:
```
data_Rb2SmHBr6
_space_group_name_H-M_alt 'C 1 2/m 1'
_space_group_IT_number 12
_cell_length_a 9.241
_cell_length_b 12.408
_cell_length_c 7.728
_cell_angle_alpha 90.00
_cell_angle_beta 126.65
_cell_angle_gamma 90.00
loop_
_space_group_symop_operation_xyz
'x,y,z'
'-x,-y,-z'
'-x,y,-z'
'x,-y,z'
'x+1/2,y+1/2,z'
'-x+1/2,-y+1/2,-z'
'-x+1/2,y+1/2,-z'
'x+1/2,-y+1/2,z'
loop_
_atom_site_label
_atom_site_type_symbol
_atom_site_fract_x
_atom_site_fract_y
_atom_site_fract_z
Rb1 Rb 0.000 0.250 0.000
Sm1 Sm 0.000 0.000 0.500
H1 H 0.000 0.500 0.500
Br1 Br 0.000 0.227 0.500
Br2 Br 0.183 0.500 0.498
Br3 Br 0.227 0.000 0.955
```

---

(17)
DFT (GGA-PBE) results for a relaxed structure of Rb2SnHBr5.

CIF file:
```
data_Rb2SnHBr5
_space_group_name_H-M_alt 'C m c 21'
_space_group_IT_number 36
_cell_length_a 4.636
_cell_length_b 19.902
_cell_length_c 13.945
_cell_angle_alpha 90.00
_cell_angle_beta 90.00
_cell_angle_gamma 90.00
loop_
_space_group_symop_operation_xyz
'x,y,z'
'-x,-y,z+1/2'
'-x,y,z'
'x,-y,z+1/2'
'x+1/2,y+1/2,z'
'-x+1/2,-y+1/2,z+1/2'
'-x+1/2,y+1/2,z'
'x+1/2,-y+1/2,z+1/2'
loop_
_atom_site_label
_atom_site_type_symbol
_atom_site_fract_x
_atom_site_fract_y
_atom_site_fract_z
Rb1 Rb 0.000 0.127 0.000
Rb2 Rb 0.000 0.144 0.661
Sn1 Sn 0.000 0.172 0.333
H1 H 0.000 0.480 0.700
Br1 Br 0.000 0.031 0.336
Br2 Br 0.000 0.314 0.978
Br3 Br 0.000 0.320 0.685
Br4 Br 0.000 0.331 0.334
Br5 Br 0.000 0.493 0.103
```

---

(18)
DFT (GGA-PBE) results for a relaxed structure of RbSnHBr2.

CIF file:
```
data_RbSnHBr2
_space_group_name_H-M_alt 'P 4/m m m'
_space_group_IT_number 123
_space_group_name_Hall '-P 4 2'
_cell_length_a 5.958
_cell_length_b 5.958
_cell_length_c 4.299
_cell_angle_alpha 90.00
_cell_angle_beta 90.00
_cell_angle_gamma 90.00
loop_
_atom_site_label
_atom_site_type_symbol
_atom_site_fract_x
_atom_site_fract_y
_atom_site_fract_z
Rb1 Rb 0.000 0.000 0.000
Sn1 Sn 0.500 0.500 0.500
H1 H 0.500 0.500 0.000
Br1 Br 0.000 0.500 0.500
```

---

(19)
DFT (GGA-PBE) results for a relaxed structure of Rb2SrHBr6.

CIF file:
```
data_Rb2SrHBr6
_space_group_name_H-M_alt 'I 4/m m m'
_space_group_IT_number 139
_space_group_name_Hall '-I 4 2'
_cell_length_a 7.374
_cell_length_b 7.374
_cell_length_c 13.460
_cell_angle_alpha 90.00
_cell_angle_beta 90.00
_cell_angle_gamma 90.00
loop_
_atom_site_label
_atom_site_type_symbol
_atom_site_fract_x
_atom_site_fract_y
_atom_site_fract_z
Rb1 Rb 0.000 0.500 0.250
Sr1 Sr 0.000 0.000 0.000
H1 H 0.000 0.000 0.500
Br1 Br 0.000 0.000 0.223
Br2 Br 0.211 0.211 0.500
```

---

(20)
DFT (GGA-PBE) results for a relaxed structure of RbSrHBr2.

CIF file:
```
data_RbSrHBr2
_space_group_name_H-M_alt 'P 4/m m m'
_space_group_IT_number 123
_space_group_name_Hall '-P 4 2'
_cell_length_a 6.094
_cell_length_b 6.094
_cell_length_c 4.676
_cell_angle_alpha 90.00
_cell_angle_beta 90.00
_cell_angle_gamma 90.00
loop_
_atom_site_label
_atom_site_type_symbol
_atom_site_fract_x
_atom_site_fract_y
_atom_site_fract_z
Rb1 Rb 0.000 0.000 0.000
Sr1 Sr 0.500 0.500 0.500
H1 H 0.500 0.500 0.000
Br1 Br 0.000 0.500 0.500
```

---

no.,DFT total energy (eV/atom)
1,-2.180
2,-2.904
3,-3.487
4,-3.292
5,-2.935
6,-3.100
7,-2.102
8,-3.384
9,-3.140
10,-2.672
11,-2.742
12,-1.757
13,-2.818
14,-1.785
15,-2.721
16,-3.446
17,-3.041
18,-3.095
19,-2.782
20,-3.299